A relaxed structure of Na3U2NbN6. Source: the Alexandria database, functional GGA-PBE.

Geometry as CIF:
```
data_Na3U2NbN6
_chemical_formula_sum 'Na6 U4 Nb2 N12'
_space_group_name_H-M_alt 'C 1 2/m 1'
_space_group_IT_number 12
_cell_length_a 5.838
_cell_length_b 10.118
_cell_length_c 6.026
_cell_angle_alpha 90.00
_cell_angle_beta 108.68
_cell_angle_gamma 90.00
loop_
_space_group_symop_operation_xyz
'x,y,z'
'-x,-y,-z'
'-x,y,-z'
'x,-y,z'
'x+1/2,y+1/2,z'
'-x+1/2,-y+1/2,-z'
'-x+1/2,y+1/2,-z'
'x+1/2,-y+1/2,z'
loop_
_atom_site_label
_atom_site_type_symbol
_atom_site_fract_x
_atom_site_fract_y
_atom_site_fract_z
Na1 Na 0.000 0.000 0.000
Na2 Na 0.000 0.340 0.000
U1 U 0.000 0.167 0.500
Nb1 Nb 0.000 0.500 0.500
N1 N 0.226 0.336 0.687
N2 N 0.233 0.000 0.688
```

Crystal system   monoclinic
E   -8.16 eV per atom
Total magnetic moment   2.58 μB/cell
D(E_F)   12.03 states/eV/cell
Raw formation energy   -0.951 eV/atom

A relaxed structure of CeScMn. Source: the Alexandria database, functional GGA-PBE.

Geometry as CIF:
```
data_CeScMn
_chemical_formula_sum 'Ce4 Sc4 Mn4'
_space_group_name_H-M_alt 'P 1 21/c 1'
_space_group_IT_number 14
_cell_length_a 6.658
_cell_length_b 6.378
_cell_length_c 6.042
_cell_angle_alpha 90.00
_cell_angle_beta 102.65
_cell_angle_gamma 90.00
loop_
_space_group_symop_operation_xyz
'x,y,z'
'-x,-y,-z'
'-x,y+1/2,-z+1/2'
'x,-y+1/2,z+1/2'
loop_
_atom_site_label
_atom_site_type_symbol
_atom_site_fract_x
_atom_site_fract_y
_atom_site_fract_z
Ce1 Ce 0.230 0.077 0.462
Sc1 Sc 0.242 0.580 0.452
Mn1 Mn 0.461 0.237 0.724
```

Crystal system   monoclinic
E   -7.05 eV per atom
Relative energy among the computed polymorphs   0.00 eV/f.u.
Total magnetic moment   0.00 μB/cell
D(E_F)   17.00 states/eV/cell
Formation energy from the elements   96 meV per atom

A relaxed structure of NaLa3Ir. Source: the Alexandria database, functional GGA-PBE.

Geometry as CIF:
```
data_NaLa3Ir
_chemical_formula_sum 'Na4 La12 Ir4'
_space_group_name_H-M_alt 'P n m a'
_space_group_IT_number 62
_cell_length_a 8.036
_cell_length_b 11.533
_cell_length_c 8.056
_cell_angle_alpha 90.00
_cell_angle_beta 90.00
_cell_angle_gamma 90.00
loop_
_space_group_symop_operation_xyz
'x,y,z'
'-x,-y,-z'
'-x+1/2,-y,z+1/2'
'x+1/2,y,-z+1/2'
'x+1/2,-y+1/2,-z+1/2'
'-x+1/2,y+1/2,z+1/2'
'-x,y+1/2,-z'
'x,-y+1/2,z'
loop_
_atom_site_label
_atom_site_type_symbol
_atom_site_fract_x
_atom_site_fract_y
_atom_site_fract_z
Na1 Na 0.010 0.250 0.004
La1 La 0.002 0.250 0.524
La2 La 0.225 0.510 0.775
Ir1 Ir 0.000 0.000 0.500
```

Crystal system   orthorhombic
E   -5.27 eV per atom
Relative energy among the computed polymorphs   0.23 eV/f.u.
Total magnetic moment   0.00 μB/cell
D(E_F)   16.69 states/eV/cell
Formation energy from the elements   -279 meV per atom

A relaxed structure of MoP4. Source: the Alexandria database, functional GGA-PBE.

Geometry as CIF:
```
data_MoP4
_chemical_formula_sum 'Mo1 P4'
_space_group_name_H-M_alt 'P m -3 m'
_space_group_IT_number 221
_space_group_name_Hall '-P 4 2 3'
_cell_length_a 4.671
_cell_length_b 4.671
_cell_length_c 4.671
_cell_angle_alpha 90.00
_cell_angle_beta 90.00
_cell_angle_gamma 90.00
loop_
_atom_site_label
_atom_site_type_symbol
_atom_site_fract_x
_atom_site_fract_y
_atom_site_fract_z
Mo1 Mo 0.000 0.000 0.000
P1 P 0.000 0.000 0.500
P2 P 0.500 0.500 0.500
```

Crystal system   cubic
E   -5.62 eV per atom
Relative energy among the computed polymorphs   6.03 eV/f.u.
Total magnetic moment   1.00 μB/cell
D(E_F)   3.72 states/eV/cell
Formation energy from the elements   870 meV per atom

A relaxed structure of PmNd3Te4. Source: the Alexandria database, functional GGA-PBE.

Geometry as CIF:
```
data_PmNd3Te4
_chemical_formula_sum 'Pm2 Nd6 Te8'
_space_group_name_H-M_alt 'P 63/m m c'
_space_group_IT_number 194
_space_group_name_Hall '-P 6c 2c'
_cell_length_a 4.4073
_cell_length_b 4.4073
_cell_length_c 30.4835
_cell_angle_alpha 90.00
_cell_angle_beta 90.00
_cell_angle_gamma 120.00
loop_
_atom_site_label
_atom_site_type_symbol
_atom_site_fract_x
_atom_site_fract_y
_atom_site_fract_z
Pm1 Pm 0.3333 0.6667 0.2500
Nd1 Nd 0.0000 0.0000 0.0000
Nd2 Nd 0.3333 0.6667 0.6243
Te1 Te 0.0000 0.0000 0.1871
Te2 Te 0.3333 0.6667 0.0624
```

Crystal system   hexagonal
E   -5.36 eV per atom
Relative energy among the computed polymorphs   0.09 eV/f.u.
Total magnetic moment   0.00 μB/cell
D(E_F)   10.29 states/eV/cell
Raw formation energy   -1.406 eV/atom

A relaxed structure of ScCu2Tc. Source: the Alexandria database, functional GGA-PBE.

Geometry as CIF:
```
data_ScCu2Tc
_chemical_formula_sum 'Sc1 Cu2 Tc1'
_space_group_name_H-M_alt 'P 4/m m m'
_space_group_IT_number 123
_space_group_name_Hall '-P 4 2'
_cell_length_a 3.312
_cell_length_b 3.312
_cell_length_c 5.443
_cell_angle_alpha 90.00
_cell_angle_beta 90.00
_cell_angle_gamma 90.00
loop_
_atom_site_label
_atom_site_type_symbol
_atom_site_fract_x
_atom_site_fract_y
_atom_site_fract_z
Sc1 Sc 0.000 0.000 0.000
Cu1 Cu 0.500 0.500 0.271
Tc1 Tc 0.000 0.000 0.500
```

Crystal system   tetragonal
E   -6.16 eV per atom
Relative energy among the computed polymorphs   0.38 eV/f.u.
Total magnetic moment   0.00 μB/cell
D(E_F)   3.61 states/eV/cell
Formation energy from the elements   64 meV per atom